Density functional theory data (GGA-PBE) for a relaxed Mg2Ta2Ag crystal.

a = 8.302 Å, b = 8.302 Å, c = 2.967 Å
α = 90.00°, β = 90.00°, γ = 90.00°
Fractional coordinates of all 10 atoms:
Mg (0.185, 0.315, 0.000)
Mg (0.315, 0.815, 0.000)
Mg (0.685, 0.185, 0.000)
Mg (0.815, 0.685, 0.000)
Ta (0.109, 0.609, 0.500)
Ta (0.391, 0.109, 0.500)
Ta (0.609, 0.891, 0.500)
Ta (0.891, 0.391, 0.500)
Ag (0.000, 0.000, 0.000)
Ag (0.500, 0.500, 0.000)

Summary:
Its formation energy is 60.54 kJ per mole of atoms. The space group is P4/mbm (127). Its calculated volume is 20.4 Å³ per atom. The total magnetic moment is 0.000 μB per atom. The calculation puts the density of states at the Fermi level at 4.132 states/eV/f.u. As for the excess energy over the best structure of this formula in the dataset: 28.9 kJ/mol of formula units. For the calculated total energy, the calculation gives -5.322 eV/atom.